1.
SrMg3O: relaxed, PBE.

Cell and atoms, written as CIF:
```
data_SrMg3O
_chemical_formula_sum 'Sr1 Mg3 O1'
_cell_length_a 4.813
_cell_length_b 4.813
_cell_length_c 4.813
_cell_angle_alpha 90.00
_cell_angle_beta 90.00
_cell_angle_gamma 90.00
_symmetry_space_group_name_H-M 'P m -3 m'
_symmetry_Int_Tables_number 221
_symmetry_space_group_name_Hall '-P 4 2 3'
loop_
_atom_site_label
_atom_site_type_symbol
_atom_site_fract_x
_atom_site_fract_y
_atom_site_fract_z
_atom_site_occupancy
Sr1 Sr 0.000 0.000 0.000 1
Mg1 Mg 0.000 0.500 0.500 1
O1 O 0.500 0.500 0.500 1
```

Computed properties:
Distance to the lowest polymorph of the same formula (meV/atom): 0
Formation energy without anion corrections (eV/atom): -0.487


2.
TmPu2Pb2: relaxed, PBE.

Cell and atoms, written as CIF:
```
data_TmPu2Pb2
_chemical_formula_sum 'Tm2 Pu4 Pb4'
_cell_length_a 3.475
_cell_length_b 23.922
_cell_length_c 3.436
_cell_angle_alpha 90.00
_cell_angle_beta 90.00
_cell_angle_gamma 90.00
_symmetry_space_group_name_H-M 'C m m m'
_symmetry_Int_Tables_number 65
_symmetry_space_group_name_Hall '-C 2 2'
loop_
_atom_site_label
_atom_site_type_symbol
_atom_site_fract_x
_atom_site_fract_y
_atom_site_fract_z
_atom_site_occupancy
Tm1 Tm 0.000 0.000 0.000 1
Pu1 Pu 0.000 0.190 0.000 1
Pb1 Pb 0.000 0.407 0.500 1
```

Computed properties:
Distance to the lowest polymorph of the same formula (meV/atom): 0
DFT formation energy (eV/atom): -0.050


3.
LiCe2TmSe5: relaxed, PBE.

Cell and atoms, written as CIF:
```
data_LiCe2TmSe5
_chemical_formula_sum 'Li4 Ce8 Tm4 Se20'
_cell_length_a 4.121
_cell_length_b 17.205
_cell_length_c 12.427
_cell_angle_alpha 90.00
_cell_angle_beta 90.00
_cell_angle_gamma 90.00
_symmetry_space_group_name_H-M 'C m c 21'
_symmetry_Int_Tables_number 36
_symmetry_space_group_name_Hall 'C 2c -2'
loop_
_atom_site_label
_atom_site_type_symbol
_atom_site_fract_x
_atom_site_fract_y
_atom_site_fract_z
_atom_site_occupancy
Li1 Li 0.000 0.015 0.000 1
Ce1 Ce 0.000 0.374 0.820 1
Ce2 Ce 0.000 0.392 0.206 1
Tm1 Tm 0.000 0.302 0.525 1
Se1 Se 0.000 0.001 0.303 1
Se2 Se 0.000 0.139 0.520 1
Se3 Se 0.000 0.191 0.869 1
Se4 Se 0.000 0.214 0.183 1
Se5 Se 0.000 0.453 0.592 1
```

Computed properties:
Formation energy without anion corrections (eV/atom): -1.712


4.
HoLuPuTl: relaxed, PBE.

Cell and atoms, written as CIF:
```
data_HoLuPuTl
_chemical_formula_sum 'Ho4 Lu4 Pu4 Tl4'
_cell_length_a 7.644
_cell_length_b 7.644
_cell_length_c 7.644
_cell_angle_alpha 90.00
_cell_angle_beta 90.00
_cell_angle_gamma 90.00
_symmetry_space_group_name_H-M 'F -4 3 m'
_symmetry_Int_Tables_number 216
_symmetry_space_group_name_Hall 'F -4 2 3'
loop_
_atom_site_label
_atom_site_type_symbol
_atom_site_fract_x
_atom_site_fract_y
_atom_site_fract_z
_atom_site_occupancy
Ho1 Ho 0.000 0.000 0.000 1
Lu1 Lu 0.250 0.250 0.250 1
Pu1 Pu 0.000 0.000 0.500 1
Tl1 Tl 0.250 0.250 0.750 1
```

Computed properties:
DFT formation energy (eV/atom): 0.054


5.
Lu2CuPb: relaxed, PBE.

Cell and atoms, written as CIF:
```
data_Lu2CuPb
_chemical_formula_sum 'Lu2 Cu1 Pb1'
_cell_length_a 4.863
_cell_length_b 4.863
_cell_length_c 3.981
_cell_angle_alpha 90.00
_cell_angle_beta 90.00
_cell_angle_gamma 90.00
_symmetry_space_group_name_H-M 'P 4/m m m'
_symmetry_Int_Tables_number 123
_symmetry_space_group_name_Hall '-P 4 2'
loop_
_atom_site_label
_atom_site_type_symbol
_atom_site_fract_x
_atom_site_fract_y
_atom_site_fract_z
_atom_site_occupancy
Lu1 Lu 0.000 0.500 0.000 1
Cu1 Cu 0.000 0.000 0.500 1
Pb1 Pb 0.500 0.500 0.500 1
```

Computed properties:
DFT formation energy (eV/atom): -0.238


6.
MnAsIr: relaxed, PBE.

Cell and atoms, written as CIF:
```
data_MnAsIr
_chemical_formula_sum 'Mn4 As4 Ir4'
_cell_length_a 3.746
_cell_length_b 8.368
_cell_length_c 5.802
_cell_angle_alpha 90.00
_cell_angle_beta 90.00
_cell_angle_gamma 90.00
_symmetry_space_group_name_H-M 'A m a 2'
_symmetry_Int_Tables_number 40
_symmetry_space_group_name_Hall 'A 2 -2a'
loop_
_atom_site_label
_atom_site_type_symbol
_atom_site_fract_x
_atom_site_fract_y
_atom_site_fract_z
_atom_site_occupancy
Mn1 Mn 0.250 0.090 0.000 1
As1 As 0.250 0.334 0.240 1
Ir1 Ir 0.250 0.382 0.812 1
```

Computed properties:
DFT formation energy (eV/atom): -0.088


7.
Mg3ZrRu: relaxed, PBE.

Cell and atoms, written as CIF:
```
data_Mg3ZrRu
_chemical_formula_sum 'Mg3 Zr1 Ru1'
_cell_length_a 4.819
_cell_length_b 4.819
_cell_length_c 4.819
_cell_angle_alpha 90.00
_cell_angle_beta 90.00
_cell_angle_gamma 90.00
_symmetry_space_group_name_H-M 'P m -3 m'
_symmetry_Int_Tables_number 221
_symmetry_space_group_name_Hall '-P 4 2 3'
loop_
_atom_site_label
_atom_site_type_symbol
_atom_site_fract_x
_atom_site_fract_y
_atom_site_fract_z
_atom_site_occupancy
Mg1 Mg 0.000 0.000 0.500 1
Zr1 Zr 0.500 0.500 0.500 1
Ru1 Ru 0.000 0.000 0.000 1
```

Computed properties:
Distance to the lowest polymorph of the same formula (meV/atom): 0
DFT formation energy (eV/atom): 0.507


8.
Re2SbIr: relaxed, PBE.

Cell and atoms, written as CIF:
```
data_Re2SbIr
_chemical_formula_sum 'Re8 Sb4 Ir4'
_cell_length_a 6.420
_cell_length_b 6.420
_cell_length_c 6.420
_cell_angle_alpha 90.00
_cell_angle_beta 90.00
_cell_angle_gamma 90.00
_symmetry_space_group_name_H-M 'F -4 3 m'
_symmetry_Int_Tables_number 216
_symmetry_space_group_name_Hall 'F -4 2 3'
loop_
_atom_site_label
_atom_site_type_symbol
_atom_site_fract_x
_atom_site_fract_y
_atom_site_fract_z
_atom_site_occupancy
Re1 Re 0.000 0.000 0.000 1
Re2 Re 0.250 0.250 0.250 1
Sb1 Sb 0.250 0.250 0.750 1
Ir1 Ir 0.000 0.000 0.500 1
```

Computed properties:
Formation energy without anion corrections (eV/atom): 0.695


9.
TbCeNd14: relaxed, PBE.

Cell and atoms, written as CIF:
```
data_TbCeNd14
_chemical_formula_sum 'Tb2 Ce2 Nd28'
_cell_length_a 10.382
_cell_length_b 10.368
_cell_length_c 10.367
_cell_angle_alpha 90.00
_cell_angle_beta 90.00
_cell_angle_gamma 90.00
_symmetry_space_group_name_H-M 'A m m 2'
_symmetry_Int_Tables_number 38
_symmetry_space_group_name_Hall 'A 2 -2'
loop_
_atom_site_label
_atom_site_type_symbol
_atom_site_fract_x
_atom_site_fract_y
_atom_site_fract_z
_atom_site_occupancy
Tb1 Tb 0.000 0.000 0.000 1
Ce1 Ce 0.000 0.000 0.500 1
Nd1 Nd 0.000 0.250 0.250 1
Nd2 Nd 0.247 0.000 0.749 1
Nd3 Nd 0.247 0.249 0.500 1
Nd4 Nd 0.248 0.000 0.251 1
Nd5 Nd 0.500 0.000 0.000 1
Nd6 Nd 0.500 0.000 0.500 1
Nd7 Nd 0.500 0.250 0.250 1
```

Computed properties:
DFT formation energy (eV/atom): 0.031


10.
P2OsRhO: relaxed, PBE.

Cell and atoms, written as CIF:
```
data_P2OsRhO
_chemical_formula_sum 'P2 Os1 Rh1 O1'
_cell_length_a 4.722
_cell_length_b 4.722
_cell_length_c 3.597
_cell_angle_alpha 90.00
_cell_angle_beta 90.00
_cell_angle_gamma 90.00
_symmetry_space_group_name_H-M 'P 4/m m m'
_symmetry_Int_Tables_number 123
_symmetry_space_group_name_Hall '-P 4 2'
loop_
_atom_site_label
_atom_site_type_symbol
_atom_site_fract_x
_atom_site_fract_y
_atom_site_fract_z
_atom_site_occupancy
P1 P 0.000 0.500 0.000 1
Os1 Os 0.000 0.000 0.000 1
Rh1 Rh 0.500 0.500 0.500 1
O1 O 0.000 0.000 0.500 1
```

Computed properties:
Distance to the lowest polymorph of the same formula (meV/atom): 0
Formation energy without anion corrections (eV/atom): 0.318


11.
CrAgSe2: relaxed, PBE.

Cell and atoms, written as CIF:
```
data_CrAgSe2
_chemical_formula_sum 'Cr3 Ag3 Se6'
_cell_length_a 3.5836
_cell_length_b 3.5836
_cell_length_c 22.8041
_cell_angle_alpha 90.00
_cell_angle_beta 90.00
_cell_angle_gamma 120.00
_symmetry_space_group_name_H-M 'R 3 m'
_symmetry_Int_Tables_number 160
_symmetry_space_group_name_Hall 'R 3 -2"'
loop_
_atom_site_label
_atom_site_type_symbol
_atom_site_fract_x
_atom_site_fract_y
_atom_site_fract_z
_atom_site_occupancy
Cr1 Cr 0.0000 0.0000 0.0000 1
Ag1 Ag 0.0000 0.0000 0.5097 1
Se1 Se 0.0000 0.0000 0.2626 1
Se2 Se 0.0000 0.0000 0.3969 1
```

Computed properties:
Formation energy without anion corrections (eV/atom): -0.197


12.
P2IrOF: relaxed, PBE.

Cell and atoms, written as CIF:
```
data_P2IrOF
_chemical_formula_sum 'P2 Ir1 O1 F1'
_cell_length_a 4.763
_cell_length_b 4.763
_cell_length_c 3.709
_cell_angle_alpha 90.00
_cell_angle_beta 90.00
_cell_angle_gamma 90.00
_symmetry_space_group_name_H-M 'P 4/m m m'
_symmetry_Int_Tables_number 123
_symmetry_space_group_name_Hall '-P 4 2'
loop_
_atom_site_label
_atom_site_type_symbol
_atom_site_fract_x
_atom_site_fract_y
_atom_site_fract_z
_atom_site_occupancy
P1 P 0.000 0.500 0.000 1
Ir1 Ir 0.000 0.000 0.000 1
O1 O 0.000 0.000 0.500 1
F1 F 0.500 0.500 0.500 1
```

Computed properties:
Distance to the lowest polymorph of the same formula (meV/atom): 0
Formation energy without anion corrections (eV/atom): 0.200